[1]
{
  "formula": "GeRh3I",
  "functional": "GGA-PBEsol",
  "state": "optimized geometry",
  "cell": [[4.554, 0.000, 0.000], [0.000, 4.554, 0.000], [0.000, 0.000, 4.554]],
  "species": ["Ge", "Rh", "Rh", "Rh", "I"],
  "frac_coords": [[0.000, 0.000, 0.000], [0.000, 0.000, 0.500], [0.000, 0.500, 0.000], [0.500, 0.000, 0.000], [0.500, 0.500, 0.500]],
  "crystal_system": "cubic",
  "polymorph_energy_ev_per_fu": 0.00
}


[2]
{
  "formula": "Ge2S3I2",
  "functional": "GGA-PBEsol",
  "state": "optimized geometry",
  "cell": [[10.659, 0.000, 0.000], [-5.330, 9.231, 0.000], [0.000, 0.000, 9.451]],
  "species": ["Ge", "Ge", "Ge", "Ge", "Ge", "Ge", "Ge", "Ge", "S", "S", "S", "S", "S", "S", "S", "S", "S", "S", "S", "S", "I", "I", "I", "I", "I", "I", "I", "I"],
  "frac_coords": [[0.181, 0.721, 0.232], [0.279, 0.460, 0.232], [0.333, 0.667, 0.936], [0.460, 0.181, 0.768], [0.540, 0.819, 0.232], [0.667, 0.333, 0.064], [0.721, 0.540, 0.768], [0.819, 0.279, 0.768], [0.110, 0.502, 0.322], [0.167, 0.725, 0.998], [0.275, 0.442, 0.998], [0.392, 0.890, 0.322], [0.442, 0.167, 0.002], [0.498, 0.608, 0.322], [0.502, 0.392, 0.678], [0.558, 0.833, 0.998], [0.608, 0.110, 0.678], [0.725, 0.558, 0.002], [0.833, 0.275, 0.002], [0.890, 0.498, 0.678], [0.000, 0.212, 0.682], [0.000, 0.788, 0.318], [0.212, 0.000, 0.682], [0.212, 0.212, 0.318], [0.333, 0.667, 0.671], [0.667, 0.333, 0.329], [0.788, 0.000, 0.318], [0.788, 0.788, 0.682]],
  "crystal_system": "trigonal"
}


[3]
{
  "formula": "GeTe2SI",
  "functional": "GGA-PBEsol",
  "state": "optimized geometry",
  "cell": [[5.362, 0.000, 0.000], [0.000, 5.362, 0.000], [0.000, 0.000, 5.251]],
  "species": ["Ge", "Te", "Te", "S", "I"],
  "frac_coords": [[0.000, 0.000, 0.000], [0.000, 0.500, 0.000], [0.500, 0.000, 0.000], [0.500, 0.500, 0.500], [0.000, 0.000, 0.500]],
  "crystal_system": "tetragonal"
}


[4]
{
  "formula": "Ge2SbI",
  "functional": "GGA-PBEsol",
  "state": "optimized geometry",
  "cell": [[0.000, 3.636, 3.636], [3.636, 0.000, 3.636], [3.636, 3.636, 0.000]],
  "species": ["Ge", "Ge", "Sb", "I"],
  "frac_coords": [[0.250, 0.250, 0.250], [0.750, 0.750, 0.750], [0.000, 0.000, 0.000], [0.500, 0.500, 0.500]],
  "crystal_system": "cubic"
}


[5]
{
  "formula": "Ge3SbI",
  "functional": "GGA-PBEsol",
  "state": "optimized geometry",
  "cell": [[5.339, 0.000, 0.000], [0.000, 5.339, 0.000], [0.000, 0.000, 5.339]],
  "species": ["Ge", "Ge", "Ge", "Sb", "I"],
  "frac_coords": [[0.000, 0.000, 0.500], [0.000, 0.500, 0.000], [0.500, 0.000, 0.000], [0.500, 0.500, 0.500], [0.000, 0.000, 0.000]],
  "crystal_system": "cubic"
}


[6]
{
  "formula": "GeSbTe2I",
  "functional": "GGA-PBEsol",
  "state": "optimized geometry",
  "cell": [[5.700, 0.000, 0.000], [0.000, 5.700, 0.000], [0.000, 0.000, 5.641]],
  "species": ["Ge", "Sb", "Te", "Te", "I"],
  "frac_coords": [[0.000, 0.000, 0.000], [0.500, 0.500, 0.500], [0.000, 0.500, 0.500], [0.500, 0.000, 0.500], [0.500, 0.500, 0.000]],
  "crystal_system": "tetragonal"
}


[7]
{
  "formula": "Zr2GeSbI",
  "functional": "GGA-PBEsol",
  "state": "optimized geometry",
  "cell": [[5.379, 0.000, 0.000], [0.000, 5.379, 0.000], [0.000, 0.000, 5.590]],
  "species": ["Zr", "Zr", "Ge", "Sb", "I"],
  "frac_coords": [[0.000, 0.500, 0.000], [0.500, 0.000, 0.000], [0.000, 0.000, 0.500], [0.500, 0.500, 0.000], [0.500, 0.500, 0.500]],
  "crystal_system": "tetragonal"
}


[8]
{
  "formula": "ScGeI3",
  "functional": "GGA-PBEsol",
  "state": "optimized geometry",
  "cell": [[5.632, 0.000, 0.000], [0.000, 5.632, 0.000], [0.000, 0.000, 5.632]],
  "species": ["Sc", "Ge", "I", "I", "I"],
  "frac_coords": [[0.000, 0.000, 0.000], [0.500, 0.500, 0.500], [0.000, 0.500, 0.500], [0.500, 0.000, 0.500], [0.500, 0.500, 0.000]],
  "crystal_system": "cubic",
  "polymorph_energy_ev_per_fu": 1.72
}


[9]
{
  "formula": "ScGeI3",
  "functional": "GGA-PBEsol",
  "state": "optimized geometry",
  "cell": [[5.618, 0.000, 0.000], [0.000, 5.618, 0.000], [0.000, 0.000, 5.618]],
  "species": ["Sc", "Ge", "I", "I", "I"],
  "frac_coords": [[0.000, 0.000, 0.000], [0.500, 0.500, 0.500], [0.000, 0.000, 0.500], [0.000, 0.500, 0.000], [0.500, 0.000, 0.000]],
  "crystal_system": "cubic",
  "polymorph_energy_ev_per_fu": 0.00
}


[10]
{
  "formula": "ScGe2I2",
  "functional": "GGA-PBEsol",
  "state": "optimized geometry",
  "cell": [[-1.795, 1.795, 11.227], [1.795, -1.795, 11.227], [1.795, 1.795, -11.227]],
  "species": ["Sc", "Ge", "Ge", "I", "I"],
  "frac_coords": [[0.000, 0.000, 0.000], [0.250, 0.750, 0.500], [0.750, 0.250, 0.500], [0.422, 0.422, 0.000], [0.578, 0.578, 0.000]],
  "crystal_system": "tetragonal"
}


[11]
{
  "formula": "Sc3GeI",
  "functional": "GGA-PBEsol",
  "state": "optimized geometry",
  "cell": [[5.159, 0.000, 0.000], [0.000, 5.159, 0.000], [0.000, 0.000, 5.159]],
  "species": ["Sc", "Sc", "Sc", "Ge", "I"],
  "frac_coords": [[0.000, 0.000, 0.500], [0.000, 0.500, 0.000], [0.500, 0.000, 0.000], [0.500, 0.500, 0.500], [0.000, 0.000, 0.000]],
  "crystal_system": "cubic"
}


[12]
{
  "formula": "Si2GeI",
  "functional": "GGA-PBEsol",
  "state": "optimized geometry",
  "cell": [[0.000, 3.421, 3.421], [3.421, 0.000, 3.421], [3.421, 3.421, 0.000]],
  "species": ["Si", "Si", "Ge", "I"],
  "frac_coords": [[0.250, 0.250, 0.250], [0.750, 0.750, 0.750], [0.000, 0.000, 0.000], [0.500, 0.500, 0.500]],
  "crystal_system": "cubic"
}


[13]
{
  "formula": "ZnSiGe2I",
  "functional": "GGA-PBEsol",
  "state": "optimized geometry",
  "cell": [[5.373, 0.000, 0.000], [0.000, 5.373, 0.000], [0.000, 0.000, 5.065]],
  "species": ["Zn", "Si", "Ge", "Ge", "I"],
  "frac_coords": [[0.000, 0.000, 0.000], [0.500, 0.500, 0.000], [0.000, 0.500, 0.500], [0.500, 0.000, 0.500], [0.000, 0.000, 0.500]],
  "crystal_system": "tetragonal"
}


[14]
{
  "formula": "Sn2Ge2I",
  "functional": "GGA-PBEsol",
  "state": "optimized geometry",
  "cell": [[-2.214, 2.214, 6.653], [2.214, -2.214, 6.653], [2.214, 2.214, -6.653]],
  "species": ["Sn", "Sn", "Ge", "Ge", "I"],
  "frac_coords": [[0.250, 0.750, 0.500], [0.750, 0.250, 0.500], [0.106, 0.106, 0.000], [0.894, 0.894, 0.000], [0.500, 0.500, 0.000]],
  "crystal_system": "tetragonal"
}


no.,formation energy from raw total energies (meV/atom),energy (eV for the cell shown)
1,695,-27.65
2,-291,-114.41
3,763,-14.33
4,313,-14.95
5,1139,-15.45
6,624,-15.20
7,1092,-23.98
8,138,-16.15
9,-207,-17.88
10,-286,-21.45
11,404,-24.50
12,728,-15.29
13,1395,-12.00
14,123,-19.55